NdZnAsS, relaxed, DFT PBE; ΔE_f (raw) = -1119 meV per atom; space-group type = R-3m (166); volume = 23.81 A^3/atom
1.0
2.206 1.274 11.303
-2.206 1.274 11.303
0.000 -2.547 11.303
Nd Zn As S
2 2 2 2
Direct
0.108 0.108 0.108 Nd
0.892 0.892 0.892 Nd
0.305 0.305 0.305 Zn
0.695 0.695 0.695 Zn
0.381 0.381 0.381 As
0.619 0.619 0.619 As
0.197 0.197 0.197 S
0.803 0.803 0.803 S

=====

Nd4Sb3As, relaxed, DFT PBE; ΔE_f (raw) = -1252 meV per atom; space-group type = Cmmm (65); volume = 31.46 A^3/atom
1.0
8.939 0.000 0.000
0.000 12.626 0.000
0.000 0.000 4.459
Nd Sb As
8 6 2
Direct
0.000 0.244 0.000 Nd
0.000 0.756 0.000 Nd
0.239 0.000 0.500 Nd
0.261 0.500 0.500 Nd
0.500 0.256 0.000 Nd
0.500 0.744 0.000 Nd
0.739 0.500 0.500 Nd
0.761 0.000 0.500 Nd
0.000 0.500 0.000 Sb
0.250 0.250 0.500 Sb
0.250 0.750 0.500 Sb
0.500 0.000 0.000 Sb
0.750 0.250 0.500 Sb
0.750 0.750 0.500 Sb
0.000 0.000 0.000 As
0.500 0.500 0.000 As

=====

Question: Which value of volume does entry 1 give?
Answer: 23.81 A^3/atom

=====

Question: Number 1 is which compound?
Answer: NdZnAsS

=====

Question: volume of number 1 (NdZnAsS)?
Answer: 23.81 A^3/atom